P | DFT (GGA-PBE) results for a geometry-optimized Tl2Sn2S5 structure.

```
9
Lattice="5.411 0.000 0.000 -2.706 6.585 -0.263 0.000 -1.303 7.460" Properties=species:S:1:pos:R:3 pbc="T T T"
Tl 2.706 0.911 2.530
Tl 0.000 4.371 4.668
S 0.000 1.300 4.111
S 2.706 3.982 3.086
S 0.000 0.000 0.000
S 0.000 4.240 0.352
S 2.706 1.041 6.845
Sn 2.706 4.351 0.773
Sn 0.000 0.930 6.425
```

Properties
D(E_F) ... 0.167 states/eV per atom

---

Q | DFT (GGA-PBE) results for a geometry-optimized Tl2Sn2S5 structure.

```
18
Lattice="6.916 0.009 -0.004 2.350 6.504 -0.004 2.982 2.096 11.017" Properties=species:S:1:pos:R:3 pbc="T T T"
Tl 5.863 2.384 9.003
Tl 2.737 3.662 3.494
Tl 9.512 4.948 7.514
Tl 6.386 6.226 2.006
S 2.684 2.411 0.419
S 7.580 5.852 5.081
S 6.216 2.590 2.750
S 4.668 2.758 5.928
S 3.209 5.776 1.264
S 9.564 6.199 10.590
S 6.033 6.020 8.259
S 8.013 2.112 6.773
S 4.236 6.498 4.236
S 9.040 2.834 9.744
Sn 6.653 1.322 4.862
Sn 5.596 7.288 6.147
Sn 7.261 1.749 0.639
Sn 4.988 6.861 10.370
```

---

Unit: meV per atom. Relative energies: P 155; Q 0.

---

P | DFT (GGA-PBE) results for a geometry-optimized TlSnS3 structure.

```
10
Lattice="-0.968 1.892 3.049 -9.106 -3.584 -2.931 1.707 -5.861 4.179" Properties=species:S:1:pos:R:3 pbc="T T T"
Tl -7.995 -1.618 0.732
Tl -0.371 -5.935 3.565
Sn -6.216 -5.697 1.563
Sn -2.150 -1.856 2.734
S -2.272 -4.283 1.936
S -0.153 -1.805 1.071
S -3.831 -0.641 1.447
S -8.213 -5.748 3.225
S -4.535 -6.912 2.850
S -6.094 -3.271 2.360
```

Properties
D(E_F) ... 0.458 states/eV per atom

---

Q | DFT (GGA-PBE) results for a geometry-optimized TlSnS3 structure.

```
5
Lattice="5.068 0.000 0.000 0.000 5.068 0.000 0.000 0.000 5.068" Properties=species:S:1:pos:R:3 pbc="T T T"
S 2.534 0.000 0.000
S 0.000 2.534 0.000
S 0.000 0.000 2.534
Sn 0.000 0.000 0.000
Tl 2.534 2.534 2.534
```

Properties
D(E_F) ... 0.657 states/eV per atom

---

Unit: meV per atom. Relative energies: P 0; Q 159.

---

P | DFT (GGA-PBE) results for a geometry-optimized TlSnS structure.

```
3
Lattice="3.690 0.000 0.000 -1.845 3.195 0.000 0.000 0.000 6.982" Properties=species:S:1:pos:R:3 pbc="T T T"
S 0.000 2.130 4.408
Sn 1.845 1.065 2.775
Tl 0.000 0.000 6.779
```

Properties
D(E_F) ... 0.304 states/eV per atom

---

Q | DFT (GGA-PBE) results for a geometry-optimized TlSnS structure.

```
18
Lattice="3.769 0.000 0.000 0.000 5.644 0.000 0.000 0.000 26.700" Properties=species:S:1:pos:R:3 pbc="T T T"
Tl 1.885 1.877 11.414
Tl 0.000 4.050 3.697
Tl 0.000 3.767 24.764
Tl 0.000 1.436 5.635
Tl 1.885 4.207 18.985
Tl 1.885 1.594 17.047
S 0.000 5.047 16.799
S 0.000 3.477 8.263
S 1.885 2.597 14.353
S 0.000 3.047 1.003
S 1.885 0.597 3.449
S 1.885 2.167 21.613
Sn 0.000 4.568 10.737
Sn 1.885 1.076 24.087
Sn 1.885 5.328 8.277
Sn 0.000 0.316 21.627
Sn 0.000 4.384 14.276
Sn 1.885 1.259 0.926
```

Properties
D(E_F) ... 0.169 states/eV per atom

---

Unit: meV per atom. Relative energies: P 0; Q 14.